1.
Here is AlHO2 after structural relaxation from Alexandria via LeMat-Bulk. Energies are from PBE-GGA.

Raw total energy ... -52.4 eV per cell

Geometry as CIF:
```
data_AlHO2
_symmetry_space_group_name_H-M 'P 1 21/m 1'
_symmetry_Int_Tables_number 11
_cell_length_a 4.7459
_cell_length_b 2.8861
_cell_length_c 4.9961
_cell_angle_alpha 90.00
_cell_angle_beta 110.55
_cell_angle_gamma 90.00
loop_
_symmetry_equiv_pos_as_xyz
'x,y,z'
'-x,-y,-z'
'-x,y+1/2,-z'
'x,-y+1/2,z'
loop_
_atom_site_label
_atom_site_type_symbol
_atom_site_fract_x
_atom_site_fract_y
_atom_site_fract_z
Al1 Al 0.0081 0.2500 0.2423
H1 H 0.4563 0.2500 0.7356
O1 O 0.2163 0.2500 0.6539
O2 O 0.2198 0.7500 0.1573
```



2.
Here is AlHO2 after structural relaxation from Alexandria via LeMat-Bulk. Energies are from PBE-GGA.

Raw total energy ... -97.9 eV per cell

Geometry as CIF:
```
data_AlHO2
_symmetry_space_group_name_H-M 'P m m n'
_symmetry_Int_Tables_number 59
_cell_length_a 2.7019
_cell_length_b 22.9756
_cell_length_c 2.6733
_cell_angle_alpha 90.00
_cell_angle_beta 90.00
_cell_angle_gamma 90.00
loop_
_symmetry_equiv_pos_as_xyz
'x,y,z'
'-x,-y,-z'
'-x+1/2,-y+1/2,z'
'x+1/2,y+1/2,-z'
'x+1/2,-y,-z'
'-x+1/2,y,z'
'-x,y+1/2,-z'
'x,-y+1/2,z'
loop_
_atom_site_label
_atom_site_type_symbol
_atom_site_fract_x
_atom_site_fract_y
_atom_site_fract_z
Al1 Al 0.2500 0.1371 0.1280
H1 H 0.2500 0.0435 0.8177
O1 O 0.2500 0.0633 0.1437
O2 O 0.2500 0.6596 0.3793
```



3.
Here is Al2H2O after structural relaxation from Alexandria via LeMat-Bulk. Energies are from PBE-GGA.

Raw total energy ... -86.5 eV per cell

Geometry as CIF:
```
data_Al2H2O
_symmetry_space_group_name_H-M 'I 41 m d'
_symmetry_Int_Tables_number 109
_symmetry_space_group_name_Hall 'I 4bw -2'
_cell_length_a 5.0800
_cell_length_b 5.0800
_cell_length_c 9.8089
_cell_angle_alpha 90.00
_cell_angle_beta 90.00
_cell_angle_gamma 90.00
loop_
_atom_site_label
_atom_site_type_symbol
_atom_site_fract_x
_atom_site_fract_y
_atom_site_fract_z
Al1 Al 0.0000 0.2427 0.0000
H1 H 0.0000 0.2786 0.3073
O1 O 0.0000 0.0000 0.6311
```



4.
Here is AlHO2 after structural relaxation from Alexandria via LeMat-Bulk. Energies are from PBE-GGA.

Raw total energy ... -52.2 eV per cell

Geometry as CIF:
```
data_AlHO2
_symmetry_space_group_name_H-M 'P m n 21'
_symmetry_Int_Tables_number 31
_cell_length_a 2.8618
_cell_length_b 4.2546
_cell_length_c 4.7629
_cell_angle_alpha 90.00
_cell_angle_beta 90.00
_cell_angle_gamma 90.00
loop_
_symmetry_equiv_pos_as_xyz
'x,y,z'
'-x+1/2,-y,z+1/2'
'-x,y,z'
'x+1/2,-y,z+1/2'
loop_
_atom_site_label
_atom_site_type_symbol
_atom_site_fract_x
_atom_site_fract_y
_atom_site_fract_z
Al1 Al 0.0000 0.2252 0.0000
H1 H 0.0000 0.3016 0.4852
O1 O 0.0000 0.0029 0.6567
O2 O 0.0000 0.4994 0.3569
```



5.
Here is AlH2O after structural relaxation from Alexandria via LeMat-Bulk. Energies are from PBE-GGA.

Distance to the lowest polymorph of the same formula ... 0.0000 eV per atom
Raw total energy ... -73.1 eV per cell

Geometry as CIF:
```
data_AlH2O
_symmetry_space_group_name_H-M 'I 41/a m d'
_symmetry_Int_Tables_number 141
_cell_length_a 2.7324
_cell_length_b 2.7324
_cell_length_c 14.9085
_cell_angle_alpha 90.00
_cell_angle_beta 90.00
_cell_angle_gamma 90.00
loop_
_symmetry_equiv_pos_as_xyz
'x,y,z'
'-x,-y,-z'
'-y+1/4,x+3/4,z+1/4'
'y+1/4,-x+3/4,-z+1/4'
'-x+1/2,-y,z+1/2'
'x+1/2,y,-z+1/2'
'y+1/4,-x+1/4,z+3/4'
'-y+1/4,x+1/4,-z+3/4'
'x,-y,-z'
'-x,y,z'
'-y+1/4,-x+1/4,-z+3/4'
'y+1/4,x+1/4,z+3/4'
'-x+1/2,y,-z+1/2'
'x+1/2,-y,z+1/2'
'y+1/4,x+3/4,-z+1/4'
'-y+1/4,-x+3/4,z+1/4'
'x+1/2,y+1/2,z+1/2'
'-x+1/2,-y+1/2,-z+1/2'
'-y+3/4,x+1/4,z+3/4'
'y+3/4,-x+1/4,-z+3/4'
'-x,-y+1/2,z'
'x,y+1/2,-z'
'y+3/4,-x+3/4,z+1/4'
'-y+3/4,x+3/4,-z+1/4'
'x+1/2,-y+1/2,-z+1/2'
'-x+1/2,y+1/2,z+1/2'
'-y+3/4,-x+3/4,-z+1/4'
'y+3/4,x+3/4,z+1/4'
'-x,y+1/2,-z'
'x,-y+1/2,z'
'y+3/4,x+1/4,-z+3/4'
'-y+3/4,-x+1/4,z+3/4'
loop_
_atom_site_label
_atom_site_type_symbol
_atom_site_fract_x
_atom_site_fract_y
_atom_site_fract_z
Al1 Al 0.0000 0.2500 0.3750
H1 H 0.0000 0.0000 0.5000
O1 O 0.0000 0.2500 0.8750
```



6.
Here is AlHO2 after structural relaxation from Alexandria via LeMat-Bulk. Energies are from PBE-GGA.

Raw total energy ... -104.5 eV per cell

Geometry as CIF:
```
data_AlHO2
_symmetry_space_group_name_H-M 'P n m a'
_symmetry_Int_Tables_number 62
_cell_length_a 12.6184
_cell_length_b 2.8901
_cell_length_c 3.7130
_cell_angle_alpha 90.00
_cell_angle_beta 90.00
_cell_angle_gamma 90.00
loop_
_symmetry_equiv_pos_as_xyz
'x,y,z'
'-x,-y,-z'
'-x+1/2,-y,z+1/2'
'x+1/2,y,-z+1/2'
'x+1/2,-y+1/2,-z+1/2'
'-x+1/2,y+1/2,z+1/2'
'-x,y+1/2,-z'
'x,-y+1/2,z'
loop_
_atom_site_label
_atom_site_type_symbol
_atom_site_fract_x
_atom_site_fract_y
_atom_site_fract_z
Al1 Al 0.0667 0.2500 0.2496
H1 H 0.2189 0.7500 0.0665
O1 O 0.0388 0.2500 0.7489
O2 O 0.1657 0.7500 0.2579
```



7.
Here is AlH2O after structural relaxation from Alexandria via LeMat-Bulk. Energies are from PBE-GGA.

Distance to the lowest polymorph of the same formula ... 1.0579 eV per atom
Raw total energy ... -56.1 eV per cell

Geometry as CIF:
```
data_AlH2O
_symmetry_space_group_name_H-M 'F m -3 m'
_symmetry_Int_Tables_number 225
_symmetry_space_group_name_Hall '-F 4 2 3'
_cell_length_a 4.7295
_cell_length_b 4.7295
_cell_length_c 4.7295
_cell_angle_alpha 90.00
_cell_angle_beta 90.00
_cell_angle_gamma 90.00
loop_
_atom_site_label
_atom_site_type_symbol
_atom_site_fract_x
_atom_site_fract_y
_atom_site_fract_z
Al1 Al 0.0000 0.0000 0.0000
H1 H 0.2500 0.2500 0.2500
O1 O 0.0000 0.0000 0.5000
```



8.
Here is AlHO2 after structural relaxation from Alexandria via LeMat-Bulk. Energies are from PBE-GGA.

Raw total energy ... -104.9 eV per cell

Geometry as CIF:
```
data_AlHO2
_symmetry_space_group_name_H-M 'P n m a'
_symmetry_Int_Tables_number 62
_cell_length_a 9.5015
_cell_length_b 2.8717
_cell_length_c 4.4318
_cell_angle_alpha 90.00
_cell_angle_beta 90.00
_cell_angle_gamma 90.00
loop_
_symmetry_equiv_pos_as_xyz
'x,y,z'
'-x,-y,-z'
'-x+1/2,-y,z+1/2'
'x+1/2,y,-z+1/2'
'x+1/2,-y+1/2,-z+1/2'
'-x+1/2,y+1/2,z+1/2'
'-x,y+1/2,-z'
'x,-y+1/2,z'
loop_
_atom_site_label
_atom_site_type_symbol
_atom_site_fract_x
_atom_site_fract_y
_atom_site_fract_z
Al1 Al 0.1435 0.2500 0.0506
H1 H 0.0920 0.7500 0.5909
O1 O 0.0555 0.7500 0.8058
O2 O 0.1970 0.7500 0.2973
```



9.
Here is Al2HO after structural relaxation from Alexandria via LeMat-Bulk. Energies are from PBE-GGA.

Distance to the lowest polymorph of the same formula ... 0.7372 eV per atom
Raw total energy ... -62.2 eV per cell

Geometry as CIF:
```
data_Al2HO
_symmetry_space_group_name_H-M 'F m -3 m'
_symmetry_Int_Tables_number 225
_symmetry_space_group_name_Hall '-F 4 2 3'
_cell_length_a 5.6420
_cell_length_b 5.6420
_cell_length_c 5.6420
_cell_angle_alpha 90.00
_cell_angle_beta 90.00
_cell_angle_gamma 90.00
loop_
_atom_site_label
_atom_site_type_symbol
_atom_site_fract_x
_atom_site_fract_y
_atom_site_fract_z
Al1 Al 0.2500 0.2500 0.2500
H1 H 0.0000 0.0000 0.0000
O1 O 0.0000 0.0000 0.5000
```



10.
Here is Al3HO6 after structural relaxation from Alexandria via LeMat-Bulk. Energies are from PBE-GGA.

Raw total energy ... -260.2 eV per cell

Geometry as CIF:
```
data_Al3HO6
_symmetry_space_group_name_H-M 'C m c 21'
_symmetry_Int_Tables_number 36
_cell_length_a 7.6070
_cell_length_b 9.8703
_cell_length_c 4.5563
_cell_angle_alpha 90.00
_cell_angle_beta 90.00
_cell_angle_gamma 90.00
loop_
_symmetry_equiv_pos_as_xyz
'x,y,z'
'-x,-y,z+1/2'
'-x,y,z'
'x,-y,z+1/2'
'x+1/2,y+1/2,z'
'-x+1/2,-y+1/2,z+1/2'
'-x+1/2,y+1/2,z'
'x+1/2,-y+1/2,z+1/2'
loop_
_atom_site_label
_atom_site_type_symbol
_atom_site_fract_x
_atom_site_fract_y
_atom_site_fract_z
Al1 Al 0.0000 0.1101 0.0000
Al2 Al 0.1996 0.3778 0.9609
H1 H 0.0000 0.2767 0.5355
O1 O 0.0000 0.2720 0.7514
O2 O 0.0000 0.4860 0.0207
O3 O 0.1593 0.2268 0.2104
O4 O 0.1679 0.0235 0.7444
```



11.
Here is AlHO2 after structural relaxation from Alexandria via LeMat-Bulk. Energies are from PBE-GGA.

Raw total energy ... -105.0 eV per cell

Geometry as CIF:
```
data_AlHO2
_symmetry_space_group_name_H-M 'C m c 21'
_symmetry_Int_Tables_number 36
_cell_length_a 2.8951
_cell_length_b 12.1419
_cell_length_c 3.7359
_cell_angle_alpha 90.00
_cell_angle_beta 90.00
_cell_angle_gamma 90.00
loop_
_symmetry_equiv_pos_as_xyz
'x,y,z'
'-x,-y,z+1/2'
'-x,y,z'
'x,-y,z+1/2'
'x+1/2,y+1/2,z'
'-x+1/2,-y+1/2,z+1/2'
'-x+1/2,y+1/2,z'
'x+1/2,-y+1/2,z+1/2'
loop_
_atom_site_label
_atom_site_type_symbol
_atom_site_fract_x
_atom_site_fract_y
_atom_site_fract_z
Al1 Al 0.0000 0.1810 0.0000
H1 H 0.0000 0.4792 0.3105
O1 O 0.0000 0.2096 0.4994
O2 O 0.0000 0.4217 0.5042
```



12.
Here is AlHO2 after structural relaxation from Alexandria via LeMat-Bulk. Energies are from PBE-GGA.

Raw total energy ... -80.2 eV per cell

Geometry as CIF:
```
data_AlHO2
_symmetry_space_group_name_H-M 'F m -3 m'
_symmetry_Int_Tables_number 225
_symmetry_space_group_name_Hall '-F 4 2 3'
_cell_length_a 4.8164
_cell_length_b 4.8164
_cell_length_c 4.8164
_cell_angle_alpha 90.00
_cell_angle_beta 90.00
_cell_angle_gamma 90.00
loop_
_atom_site_label
_atom_site_type_symbol
_atom_site_fract_x
_atom_site_fract_y
_atom_site_fract_z
Al1 Al 0.0000 0.0000 0.0000
H1 H 0.0000 0.0000 0.5000
O1 O 0.2500 0.2500 0.2500
```